1.
# SrAcBiO4

Crystalline SrAcBiO4 at its relaxed geometry (PBE-GGA, Alexandria via LeMat-Bulk).

Unit cell a=7.3489 b=7.3489 c=7.3489 alpha=121.19 beta=117.92 gamma=90.79
Last column: nearest neighbours and their distance in Å.
Element x y z (fractional)
Sr 0.3721 0.1221 0.2500  4 O 2.43-2.53
Sr 0.6279 0.8779 0.7500  4 O 2.43-2.53
Ac 0.0000 0.5000 0.5000  6 O 2.51-2.52
Ac 0.5000 0.5000 0.0000  6 O 2.51-2.52
Bi 0.0000 0.0000 0.5000  6 O 2.43-2.47
Bi 0.0000 0.5000 0.0000  6 O 2.43-2.47
O 0.2150 0.7434 0.4717  2 Bi 2.47, 1 Ac 2.52, 1 Sr 2.53
O 0.2283 0.2566 0.9717  2 Bi 2.47, 1 Ac 2.52, 1 Sr 2.53
O 0.2345 0.2573 0.5228  1 Bi 2.43, 1 Sr 2.43, 2 Ac 2.51
O 0.2345 0.7117 0.9772  1 Bi 2.43, 1 Sr 2.43, 2 Ac 2.51
O 0.7655 0.2883 0.0228  1 Bi 2.43, 1 Sr 2.43, 2 Ac 2.51
O 0.7655 0.7427 0.4772  1 Bi 2.43, 1 Sr 2.43, 2 Ac 2.51
O 0.7717 0.7434 0.0283  2 Bi 2.47, 1 Ac 2.52, 1 Sr 2.53
O 0.7850 0.2566 0.5283  2 Bi 2.47, 1 Ac 2.52, 1 Sr 2.53

total magnetization	0.0	μB/cell
crystal system	orthorhombic
DFT total energy	-92.3	eV per cell
formation energy without anion corrections	-2.38	eV per atom
density	6.9	g cm⁻³

2.
# SrAcBi2O8

Crystalline SrAcBi2O8 at its relaxed geometry (PBE-GGA, Alexandria via LeMat-Bulk).

Unit cell a=7.1695 b=7.1695 c=7.1695 alpha=132.94 beta=132.94 gamma=68.75
Last column: nearest neighbours and their distance in Å.
Element x y z (fractional)
Sr 0.0000 0.0000 0.0000  8 O 2.58-2.63
Ac 0.2500 0.7500 0.5000  8 O 2.57-2.60
Bi 0.5000 0.5000 0.0000  4 O 2.07
Bi 0.7500 0.2500 0.5000  4 O 2.06
O 0.0338 0.1052 0.4533  1 Bi 2.06
O 0.2186 0.6451 0.0520  1 Bi 2.07
O 0.3549 0.4069 0.5735  1 Bi 2.07
O 0.4195 0.9662 0.0714  1 Bi 2.06
O 0.5931 0.1666 0.9480  1 Bi 2.07
O 0.6519 0.5805 0.5467  1 Bi 2.06
O 0.8334 0.7814 0.4265  1 Bi 2.07
O 0.8948 0.3481 0.9286  1 Bi 2.06

total magnetization	1.1	μB/cell
crystal system	tetragonal
DFT total energy	-72.7	eV per cell
formation energy without anion corrections	-1.62	eV per atom
density	7.4	g cm⁻³

> DFT total energy of number 1 (SrAcBiO4)?

-92.3 eV per cell